Entry from Alexandria via LeMat-Bulk: PaNiB2Ir2 after structural relaxation (GGA-PBE).

Geometry as CIF:
```
data_PaNiB2Ir2
_chemical_formula_sum 'Pa2 Ni2 B4 Ir4'
_symmetry_space_group_name_H-M 'I 4/m m m'
_symmetry_Int_Tables_number 139
_symmetry_space_group_name_Hall '-I 4 2'
_cell_length_a 3.8978
_cell_length_b 3.8978
_cell_length_c 11.2569
_cell_angle_alpha 90.00
_cell_angle_beta 90.00
_cell_angle_gamma 90.00
loop_
_atom_site_label
_atom_site_fract_x
_atom_site_fract_y
_atom_site_fract_z
Pa1 0.0000 0.0000 0.0000
Ni1 0.0000 0.0000 0.5000
B1 0.0000 0.0000 0.3259
Ir1 0.0000 0.5000 0.2500
```

Computed properties:
* total energy: -8.127 eV/atom
* energy relative to the elements: -0.401 eV/atom
* total magnetization: 0.17 μB/f.u.